[1]
Below is crystalline As2PIr at its relaxed geometry, with properties calculated at the PBE-GGA level.

a b c (Å): 3.1886 3.1879 6.9338
angles (deg): 90.00 90.00 90.00
With the nearest neighbours (Å) after each atom.
Positions (direct):
As: 0.0000 0.0000 0.9251  4 P 2.66, 1 Ir 2.71
As: 0.5000 0.5000 0.3201  4 Ir 2.70, 1 P 2.77
Ir: 0.0000 0.0000 0.5346  4 P 2.60, 5 As 2.70-2.71
P: 0.5000 0.5000 0.7203  4 Ir 2.60, 5 As 2.66-2.77

Output
The crystal system is tetragonal. For the density, the calculation gives 8789 kg/m3. The formation energy is 237 meV/atom. Its raw total energy is -5.656 eV per atom.

[2]
Below is crystalline PmSnPd6 at its relaxed geometry, with properties calculated at the PBE-GGA level.

a b c (Å): 4.1412 4.1412 8.1261
angles (deg): 90.00 90.00 90.00
With the nearest neighbours (Å) after each atom.
Positions (direct):
Pm: 0.0000 0.0000 0.0000  12 Pd 2.93-2.98
Sn: 0.0000 0.0000 0.5000  12 Pd 2.83-2.93
Pd: 0.5000 0.5000 0.0000  4 Pm 2.93, 8 Pd 2.98
Pd: 0.5000 0.5000 0.5000  8 Pd 2.83, 4 Sn 2.93
Pd: 0.5000 0.0000 0.2630  2 Sn 2.83, 8 Pd 2.83-2.98, 2 Pm 2.98
Pd: 0.5000 0.0000 0.7370  2 Sn 2.83, 8 Pd 2.83-2.98, 2 Pm 2.98
Pd: 0.0000 0.5000 0.2630  2 Sn 2.83, 8 Pd 2.83-2.98, 2 Pm 2.98
Pd: 0.0000 0.5000 0.7370  2 Sn 2.83, 8 Pd 2.83-2.98, 2 Pm 2.98

Output
The crystal system is tetragonal. For the density, the calculation gives 10751 kg/m3. The formation energy is -646 meV/atom. Its raw total energy is -5.635 eV per atom.

[3]
Below is crystalline BaTl4Ga at its relaxed geometry, with properties calculated at the PBE-GGA level.

a b c (Å): 6.5242 6.5242 6.5242
angles (deg): 60.00 60.00 60.00
With the nearest neighbours (Å) after each atom.
Positions (direct):
Tl: 0.6257 0.6257 0.1229  6 Tl 3.24-3.28
Tl: 0.6257 0.1229 0.6257  6 Tl 3.24-3.28
Tl: 0.6257 0.6257 0.6257  6 Tl 3.24-3.28
Tl: 0.1229 0.6257 0.6257  6 Tl 3.24-3.28
Ba: 0.2500 0.2500 0.2500  12 Tl 3.83, 4 Ga 4.00
Ga: 0.0000 0.0000 0.0000  12 Tl 3.82, 4 Ba 4.00

Output
The crystal system is cubic. For the density, the calculation gives 8664 kg/m3. The formation energy is -71 meV/atom. Its raw total energy is -2.474 eV per atom.

Question: Which formula does entry 2 have?
Answer: PmSnPd6